(1)
# MgScOs2

MgScOs2 after structural relaxation (PBE, Alexandria).

Cell lengths 3.1324, 4.3446, 4.7045 Å; angles 90.00, 90.00, 90.00 degrees
With the nearest neighbours (Å) after each atom.
Atoms (fractional coordinates):
Mg  0.0000  0.0000  0.0000  4 Os 2.68, 4 Sc 2.83
Sc  0.5000  0.0000  0.5000  4 Os 2.68, 4 Mg 2.83
Os  0.0000  0.5000  0.5000  4 Sc 2.68, 4 Os 2.83
Os  0.5000  0.5000  0.0000  4 Mg 2.68, 4 Os 2.83

Values from the calculation:
- energy of formation from the pure elements (eV/atom) = 0.081
- total magnetization (μB per formula unit) = 0.0
- SG = Pmmm (47)

---

(2)
# Ba3Cd4Pt4

Ba3Cd4Pt4 after structural relaxation (PBE, Alexandria).

Cell lengths 7.3663, 7.3663, 7.3663 Å; angles 109.47, 109.47, 109.47 degrees
With the nearest neighbours (Å) after each atom.
Atoms (fractional coordinates):
Ba  0.0000  0.5000  0.5000  4 Pt 3.49, 4 Cd 3.52
Ba  0.5000  0.0000  0.5000  4 Pt 3.49, 4 Cd 3.52
Ba  0.5000  0.5000  0.0000  4 Pt 3.49, 4 Cd 3.52
Cd  0.0000  0.0000  0.2587  4 Pt 2.66-2.81
Cd  0.0000  0.2587  0.0000  4 Pt 2.66-2.81
Cd  0.2587  0.0000  0.0000  4 Pt 2.66-2.81
Cd  0.7413  0.7413  0.7413  4 Pt 2.66-2.81
Pt  0.0000  0.0000  0.6200  4 Cd 2.66-2.81
Pt  0.0000  0.6200  0.0000  4 Cd 2.66-2.81
Pt  0.3800  0.3800  0.3800  4 Cd 2.66-2.81
Pt  0.6200  0.0000  0.0000  4 Cd 2.66-2.81

Values from the calculation:
- ΔE to the lowest computed polymorph (meV/atom) = 108
- energy of formation from the pure elements (eV/atom) = -0.476
- total magnetization (μB per formula unit) = 0.0
- SG = I-43m (217)

---

(3)
# MoIr2Cl

MoIr2Cl after structural relaxation (PBE, Alexandria).

Cell lengths 2.7735, 3.6276, 7.1822 Å; angles 90.00, 90.00, 90.00 degrees
With the nearest neighbours (Å) after each atom.
Atoms (fractional coordinates):
Mo  0.0000  0.0000  0.0000  5 Ir 2.67-2.72, 2 Mo 2.77, 4 Cl 2.88
Ir  0.0000  0.0000  0.6217  6 Ir 2.65-2.77, 1 Mo 2.72
Ir  0.5000  0.5000  0.8086  6 Ir 2.65-2.77, 4 Mo 2.67
Cl  0.5000  0.5000  0.2436  2 Cl 2.77, 4 Mo 2.88

Values from the calculation:
- ΔE to the lowest computed polymorph (meV/atom) = 253
- total magnetization (μB per formula unit) = 0.0
- SG = Pmm2 (25)

---

(4)
# DyTmAg2Se4

DyTmAg2Se4 after structural relaxation (PBE, Alexandria).

Cell lengths 6.9096, 4.1486, 7.1811 Å; angles 90.00, 109.93, 90.00 degrees
With the nearest neighbours (Å) after each atom.
Atoms (fractional coordinates):
Dy  0.0000  0.0000  0.0000  6 Se 2.88
Tm  0.0000  0.5000  0.5000  6 Se 2.85-2.86
Ag  0.5000  0.0000  0.5000  6 Se 2.89-2.92
Ag  0.5000  0.5000  0.0000  6 Se 2.92-2.94
Se  0.2427  0.0000  0.7436  2 Tm 2.86, 1 Dy 2.88, 3 Ag 2.89-2.94
Se  0.2437  0.5000  0.2493  1 Tm 2.85, 2 Dy 2.88, 3 Ag 2.92
Se  0.7563  0.5000  0.7507  1 Tm 2.85, 2 Dy 2.88, 3 Ag 2.92
Se  0.7573  0.0000  0.2564  2 Tm 2.86, 1 Dy 2.88, 3 Ag 2.89-2.94

Values from the calculation:
- VASP energy (eV/atom) = -4.748
- total magnetization (μB per formula unit) = 0.0
- SG = P2/m (10)